Entry 1:
# P2PtS

P2PtS after structural relaxation (PBE-GGA, Alexandria via LeMat-Bulk).

Results
DFT total energy = -5.18 eV/atom
Uncorrected formation energy = 0.066 eV/atom

Structure (POSCAR):
```
P2PtS
1.0
-1.4470 -3.1772 4.1057
5.0740 0.0362 1.8162
0.6772 2.9334 6.0457
P S Pt
4 2 2
direct
0.6472 0.1250 0.2500
0.1028 0.6250 0.2500
0.3750 0.3528 0.7500
0.8750 0.8972 0.7500
0.5000 0.5000 0.0000
0.2500 0.7500 0.5000
0.0000 0.0000 0.0000
0.7500 0.2500 0.5000
```

=====

Entry 2:
# Fe2ReBr

Fe2ReBr after structural relaxation (PBE-GGA, Alexandria via LeMat-Bulk).

Results
DFT total energy = -6.70 eV/atom
Uncorrected formation energy = 1.065 eV/atom
Relative energy among the computed polymorphs = 514 meV per atom

Structure (POSCAR):
```
Fe2ReBr
1.0
-2.5647 -4.3655 2.5511
4.0602 -3.4829 -1.8782
3.2324 -3.1184 4.2133
Re Fe Br
2 4 2
direct
0.0000 0.0000 0.0000
0.7500 0.2500 0.5000
0.6383 0.1250 0.2500
0.1117 0.6250 0.2500
0.3750 0.3617 0.7500
0.8750 0.8883 0.7500
0.5000 0.5000 0.0000
0.2500 0.7500 0.5000
```